The following is a DFT calculation (SCAN) of a PBEsol-optimized structure of Ba2ScN2.

The structure in extended XYZ format:
```
5
Lattice="4.411 0.000 0.000 0.000 4.411 0.000 -2.205 -2.205 6.168" Properties=species:S:1:pos:R:3 pbc="T T T"
Ba 0.000 2.205 3.084
Ba 2.205 0.000 3.084
N 2.205 2.205 1.585
N 0.000 0.000 4.583
Sc 0.000 0.000 0.000
```

Summary:
The formation energy without anion corrections is 835 meV/atom. As for the space group: I4/mmm. Its calculated total energy is -21.549 eV per atom. The crystal system is tetragonal.